BaTcHg2: optimized geometry, PBE-GGA.

Results
Excess energy over the best structure of this formula in the dataset: 52.4 meV per atom
Calculated volume: 28.38 Å³/atom

Unit cell a=9.416 b=4.086 c=14.253 alpha=90.00 beta=124.09 gamma=90.00
Fractional coordinates of all 16 atoms:
Tc1 0.988 0.000 0.289
Tc2 0.012 0.000 0.711
Tc3 0.988 0.500 0.789
Tc4 0.012 0.500 0.211
Hg1 0.817 0.000 0.405
Hg2 0.183 0.000 0.595
Hg3 0.817 0.500 0.905
Hg4 0.183 0.500 0.095
Hg5 0.768 0.000 0.042
Hg6 0.232 0.000 0.958
Hg7 0.768 0.500 0.542
Hg8 0.232 0.500 0.458
Ba1 0.383 0.000 0.332
Ba2 0.617 0.000 0.668
Ba3 0.383 0.500 0.832
Ba4 0.617 0.500 0.168



La2AlSb: optimized geometry, PBE-GGA.

Results
Excess energy over the best structure of this formula in the dataset: 162.9 meV per atom
Calculated volume: 33.89 Å³/atom

Unit cell a=4.402 b=4.402 c=8.473 alpha=75.04 beta=75.04 gamma=59.87
Fractional coordinates of all 4 atoms:
Sb1 0.250 0.250 0.250
Al1 0.750 0.750 0.750
La1 0.996 0.996 0.010
La2 0.504 0.504 0.490



Pr2PaN3: optimized geometry, PBE-GGA.

Results
Excess energy over the best structure of this formula in the dataset: 29.4 meV per atom
Calculated volume: 16.72 Å³/atom

Unit cell a=6.234 b=6.266 c=6.266 alpha=119.68 beta=99.60 gamma=99.60
Fractional coordinates of all 12 atoms:
Pr1 0.250 0.917 0.083
Pr2 0.250 0.248 0.752
Pr3 0.750 0.083 0.917
Pr4 0.750 0.752 0.248
Pa1 0.250 0.585 0.415
Pa2 0.750 0.415 0.585
N1 0.000 0.219 0.362
N2 0.500 0.362 0.219
N3 0.000 0.500 0.000
N4 0.000 0.781 0.638
N5 0.500 0.000 0.500
N6 0.500 0.638 0.781



Er4RuRh2: optimized geometry, PBE-GGA.

Results
Total energy: -46.78 eV/cell
Calculated volume: 22.03 Å³/atom

Unit cell a=5.851 b=5.851 c=5.851 alpha=108.74 beta=109.84 gamma=109.84
Fractional coordinates of all 7 atoms:
Er1 0.500 0.000 0.000
Er2 0.500 0.500 0.500
Er3 0.000 0.000 0.500
Er4 0.000 0.500 0.000
Ru1 0.000 0.000 0.000
Rh1 0.500 0.500 0.000
Rh2 0.500 0.000 0.500



| no. | DOS at the Fermi energy (states/eV per cell) |
| --- | --- |
| 1 | 8.87 |
| 2 | 3.21 |
| 3 | 4.82 |
| 4 | 2.80 |